No. 1
# SnPPd2C, relaxed, DFT PBE-GGA
data_SnPPd2C
_space_group_name_H-M_alt 'P 4/m m m'
_space_group_IT_number 123
_space_group_name_Hall '-P 4 2'
_cell_length_a 4.429
_cell_length_b 4.429
_cell_length_c 4.003
_cell_angle_alpha 90.00
_cell_angle_beta 90.00
_cell_angle_gamma 90.00
loop_
_atom_site_label
_atom_site_type_symbol
_atom_site_fract_x
_atom_site_fract_y
_atom_site_fract_z
Sn1 Sn 0.000 0.000 0.000
P1 P 0.500 0.500 0.000
Pd1 Pd 0.000 0.500 0.500
C1 C 0.500 0.500 0.500
# * energy of formation from the pure elements: 0.535 eV per atom

***

No. 2
# SrPPdC2, relaxed, DFT PBE-GGA
data_SrPPdC2
_space_group_name_H-M_alt 'P 4/m m m'
_space_group_IT_number 123
_space_group_name_Hall '-P 4 2'
_cell_length_a 4.004
_cell_length_b 4.004
_cell_length_c 4.625
_cell_angle_alpha 90.00
_cell_angle_beta 90.00
_cell_angle_gamma 90.00
loop_
_atom_site_label
_atom_site_type_symbol
_atom_site_fract_x
_atom_site_fract_y
_atom_site_fract_z
Sr1 Sr 0.000 0.000 0.000
P1 P 0.500 0.500 0.500
Pd1 Pd 0.500 0.500 0.000
C1 C 0.000 0.500 0.500
# * energy of formation from the pure elements: 1.108 eV per atom

***

No. 3
# TePPd2C, relaxed, DFT PBE-GGA
data_TePPd2C
_space_group_name_H-M_alt 'P 4/m m m'
_space_group_IT_number 123
_space_group_name_Hall '-P 4 2'
_cell_length_a 4.341
_cell_length_b 4.341
_cell_length_c 4.209
_cell_angle_alpha 90.00
_cell_angle_beta 90.00
_cell_angle_gamma 90.00
loop_
_atom_site_label
_atom_site_type_symbol
_atom_site_fract_x
_atom_site_fract_y
_atom_site_fract_z
Te1 Te 0.000 0.000 0.000
P1 P 0.500 0.500 0.000
Pd1 Pd 0.000 0.500 0.500
C1 C 0.500 0.500 0.500
# * formation energy without anion corrections: 0.64 eV/atom